The following is a DFT calculation (PBE-GGA) of crystalline YZrV2Tc at its relaxed geometry.

extended XYZ file:
```
5
Lattice="4.5955 0.0000 0.0000 0.0000 4.5955 0.0000 0.0000 0.0000 5.1422" Properties=species:S:1:pos:R:3 pbc="T T T"
Y 0.0000 0.0000 0.0000
Zr 2.2977 2.2977 0.0000
V 0.0000 2.2977 2.5711
V 2.2977 0.0000 2.5711
Tc 0.0000 0.0000 2.5711
```

- VASP energy: -7.903 eV/atom
- Formation enthalpy at 0 K: 820 meV/atom
- DOS(E_F): 6.836 states/eV/cell